DFT (GGA-PBE) results for an optimized crystal structure of Ba2Li3MgAl12.

a b c (Å): 11.018 11.018 11.018
angles (deg): 36.06 36.06 36.06
Fractional positions:
Ba (0.147, 0.147, 0.147)
Ba (0.853, 0.853, 0.853)
Li (0.000, 0.500, 0.500)
Li (0.500, 0.000, 0.500)
Li (0.500, 0.500, 0.000)
Mg (0.500, 0.500, 0.500)
Al (0.085, 0.085, 0.694)
Al (0.085, 0.694, 0.085)
Al (0.150, 0.558, 0.558)
Al (0.306, 0.915, 0.915)
Al (0.442, 0.442, 0.850)
Al (0.442, 0.850, 0.442)
Al (0.558, 0.150, 0.558)
Al (0.558, 0.558, 0.150)
Al (0.694, 0.085, 0.085)
Al (0.850, 0.442, 0.442)
Al (0.915, 0.306, 0.915)
Al (0.915, 0.915, 0.306)

Calculated values
D(E_F) in states/eV/f.u.: 10.65
ρ in g/cm³: 2.58
E_tot in Ry per atom: -0.226
Crystal system: trigonal